No. 1
A plane-wave DFT calculation with PBE was carried out for an optimized crystal structure of Pm5PrEr3.

Geometry as CIF:
```
data_Pm5PrEr3
_cell_length_a 9.811
_cell_length_b 9.811
_cell_length_c 9.811
_cell_angle_alpha 124.79
_cell_angle_beta 124.79
_cell_angle_gamma 81.88
_symmetry_space_group_name_H-M 'P 1'
_symmetry_Int_Tables_number 1
_symmetry_space_group_name_Hall 'P 1'
loop_
_atom_site_label
_atom_site_fract_x
_atom_site_fract_y
_atom_site_fract_z
Pm1 0.000 0.000 0.000
Pm2 0.067 0.567 0.900
Pm3 0.168 0.067 0.500
Pm4 0.332 0.832 0.900
Pm5 0.433 0.332 0.500
Pm6 0.500 0.500 0.000
Pm7 0.567 0.668 0.500
Pm8 0.668 0.168 0.100
Pm9 0.832 0.933 0.500
Pm10 0.933 0.433 0.100
Pr1 0.250 0.750 0.500
Pr2 0.750 0.250 0.500
Er1 0.113 0.387 0.500
Er2 0.250 0.250 0.000
Er3 0.387 0.887 0.274
Er4 0.613 0.113 0.726
Er5 0.750 0.750 0.000
Er6 0.887 0.613 0.500
```

Calculated values
Uncorrected energy   -4.395 eV/atom
ΔH_f (0 K)   0.30 eV per atom
Space-group type   I4/mcm, No. 140
E above lowest polymorph   1.510 eV/f.u.

No. 2
A plane-wave DFT calculation with PBE was carried out for an optimized crystal structure of CePuSb.

Geometry as CIF:
```
data_CePuSb
_cell_length_a 5.522
_cell_length_b 5.522
_cell_length_c 5.522
_cell_angle_alpha 135.69
_cell_angle_beta 135.69
_cell_angle_gamma 64.46
_symmetry_space_group_name_H-M 'P 1'
_symmetry_Int_Tables_number 1
_symmetry_space_group_name_Hall 'P 1'
loop_
_atom_site_label
_atom_site_fract_x
_atom_site_fract_y
_atom_site_fract_z
Ce1 0.000 0.000 0.000
Pu1 0.706 0.706 0.000
Sb1 0.353 0.353 0.000
```

Calculated values
Uncorrected energy   -8.759 eV/atom
Space-group type   I4mm, No. 107
E above lowest polymorph   0.000 eV/f.u.
Raw formation energy   -0.6292 eV/atom

No. 3
A plane-wave DFT calculation with PBE was carried out for an optimized crystal structure of AgTePdN2.

Geometry as CIF:
```
data_AgTePdN2
_cell_length_a 4.031
_cell_length_b 4.031
_cell_length_c 5.866
_cell_angle_alpha 90.00
_cell_angle_beta 90.00
_cell_angle_gamma 90.00
_symmetry_space_group_name_H-M 'P 1'
_symmetry_Int_Tables_number 1
_symmetry_space_group_name_Hall 'P 1'
loop_
_atom_site_label
_atom_site_fract_x
_atom_site_fract_y
_atom_site_fract_z
Ag1 0.000 0.000 0.000
Te1 0.500 0.500 0.000
Pd1 0.500 0.500 0.500
N1 0.000 0.500 0.500
N2 0.500 0.000 0.500
```

Calculated values
Uncorrected energy   -4.259 eV/atom
Space-group type   P4/mmm, No. 123
E above lowest polymorph   0.000 eV/f.u.
Raw formation energy   1.3083 eV/atom

No. 4
A plane-wave DFT calculation with PBE was carried out for an optimized crystal structure of Er3Ga5Hg12.

Geometry as CIF:
```
data_Er3Ga5Hg12
_cell_length_a 14.418
_cell_length_b 14.418
_cell_length_c 14.418
_cell_angle_alpha 109.47
_cell_angle_beta 109.47
_cell_angle_gamma 109.47
_symmetry_space_group_name_H-M 'P 1'
_symmetry_Int_Tables_number 1
_symmetry_space_group_name_Hall 'P 1'
loop_
_atom_site_label
_atom_site_fract_x
_atom_site_fract_y
_atom_site_fract_z
Er1 0.125 0.250 0.375
Er2 0.125 0.375 0.750
Er3 0.250 0.375 0.125
Er4 0.250 0.875 0.625
Er5 0.375 0.125 0.250
Er6 0.375 0.750 0.125
Er7 0.625 0.250 0.875
Er8 0.625 0.875 0.750
Er9 0.750 0.125 0.375
Er10 0.750 0.625 0.875
Er11 0.875 0.625 0.250
Er12 0.875 0.750 0.625
Ga1 0.000 0.000 0.000
Ga2 0.000 0.000 0.500
Ga3 0.000 0.500 0.000
Ga4 0.000 0.500 0.500
Ga5 0.125 0.750 0.875
Ga6 0.125 0.875 0.250
Ga7 0.250 0.125 0.875
Ga8 0.250 0.625 0.375
Ga9 0.375 0.250 0.625
Ga10 0.375 0.625 0.750
Ga11 0.500 0.000 0.000
Ga12 0.500 0.000 0.500
Ga13 0.500 0.500 0.000
Ga14 0.500 0.500 0.500
Ga15 0.625 0.375 0.250
Ga16 0.625 0.750 0.375
Ga17 0.750 0.375 0.625
Ga18 0.750 0.875 0.125
Ga19 0.875 0.125 0.750
Ga20 0.875 0.250 0.125
Hg1 0.050 0.220 0.127
Hg2 0.050 0.329 0.922
Hg3 0.078 0.627 0.407
Hg4 0.078 0.950 0.671
Hg5 0.093 0.720 0.671
Hg6 0.093 0.873 0.422
Hg7 0.127 0.050 0.220
Hg8 0.127 0.578 0.907
Hg9 0.171 0.220 0.593
Hg10 0.171 0.450 0.578
Hg11 0.220 0.127 0.050
Hg12 0.220 0.593 0.171
Hg13 0.280 0.329 0.907
Hg14 0.280 0.450 0.373
Hg15 0.329 0.907 0.280
Hg16 0.329 0.922 0.050
Hg17 0.373 0.280 0.450
Hg18 0.373 0.593 0.922
Hg19 0.407 0.078 0.627
Hg20 0.407 0.829 0.780
Hg21 0.422 0.093 0.873
Hg22 0.422 0.829 0.550
Hg23 0.450 0.373 0.280
Hg24 0.450 0.578 0.171
Hg25 0.550 0.422 0.829
Hg26 0.550 0.627 0.720
Hg27 0.578 0.171 0.450
Hg28 0.578 0.907 0.127
Hg29 0.593 0.171 0.220
Hg30 0.593 0.922 0.373
Hg31 0.627 0.407 0.078
Hg32 0.627 0.720 0.550
Hg33 0.671 0.078 0.950
Hg34 0.671 0.093 0.720
Hg35 0.720 0.550 0.627
Hg36 0.720 0.671 0.093
Hg37 0.780 0.407 0.829
Hg38 0.780 0.873 0.950
Hg39 0.829 0.550 0.422
Hg40 0.829 0.780 0.407
Hg41 0.873 0.422 0.093
Hg42 0.873 0.950 0.780
Hg43 0.907 0.127 0.578
Hg44 0.907 0.280 0.329
Hg45 0.922 0.050 0.329
Hg46 0.922 0.373 0.593
Hg47 0.950 0.671 0.078
Hg48 0.950 0.780 0.873
```

Calculated values
Uncorrected energy   -1.544 eV/atom
ΔH_f (0 K)   0.08 eV per atom
Space-group type   Ia-3d, No. 230

No. 5
A plane-wave DFT calculation with PBE was carried out for an optimized crystal structure of ScCoPt3.

Geometry as CIF:
```
data_ScCoPt3
_cell_length_a 4.763
_cell_length_b 4.763
_cell_length_c 4.763
_cell_angle_alpha 90.00
_cell_angle_beta 90.00
_cell_angle_gamma 90.00
_symmetry_space_group_name_H-M 'P 1'
_symmetry_Int_Tables_number 1
_symmetry_space_group_name_Hall 'P 1'
loop_
_atom_site_label
_atom_site_fract_x
_atom_site_fract_y
_atom_site_fract_z
Sc1 0.000 0.000 0.000
Co1 0.500 0.500 0.500
Pt1 0.000 0.000 0.500
Pt2 0.000 0.500 0.000
Pt3 0.500 0.000 0.000
```

Calculated values
Uncorrected energy   -5.342 eV/atom
ΔH_f (0 K)   0.97 eV per atom
Space-group type   Pm-3m, No. 221
E above lowest polymorph   3.881 eV/f.u.

No. 6
A plane-wave DFT calculation with PBE was carried out for an optimized crystal structure of Tl7Se3I.

Geometry as CIF:
```
data_Tl7Se3I
_cell_length_a 7.210
_cell_length_b 7.210
_cell_length_c 7.569
_cell_angle_alpha 92.89
_cell_angle_beta 92.89
_cell_angle_gamma 96.89
_symmetry_space_group_name_H-M 'P 1'
_symmetry_Int_Tables_number 1
_symmetry_space_group_name_Hall 'P 1'
loop_
_atom_site_label
_atom_site_fract_x
_atom_site_fract_y
_atom_site_fract_z
Tl1 0.000 0.000 0.000
Tl2 0.111 0.525 0.303
Tl3 0.331 0.331 0.821
Tl4 0.475 0.889 0.697
Tl5 0.525 0.111 0.303
Tl6 0.669 0.669 0.179
Tl7 0.889 0.475 0.697
Se1 0.289 0.711 0.000
Se2 0.500 0.500 0.500
Se3 0.711 0.289 0.000
I1 0.000 0.000 0.500
```

Calculated values
Uncorrected energy   -2.969 eV/atom
Space-group type   C2/m, No. 12
Raw formation energy   -0.3715 eV/atom

| no. | magnetic moment (μB per formula unit) |
| --- | --- |
| 1 | 0.0 |
| 2 | 7.2 |
| 3 | 3.6 |
| 4 | 0.0 |
| 5 | 2.1 |
| 6 | 0.0 |